# PBE Cs2VNiS4, relaxed
data_Cs2VNiS4
_cell_length_a 5.4475
_cell_length_b 14.2199
_cell_length_c 24.8264
_cell_angle_alpha 90.00
_cell_angle_beta 90.00
_cell_angle_gamma 90.00
_space_group_name_H-M_alt 'F d d d'
_space_group_IT_number 70
loop_
_space_group_symop_operation_xyz
'x,y,z'
'-x,-y,-z'
'-x+1/4,-y+1/4,z'
'x+1/4,y+1/4,-z'
'x,-y+1/4,-z+1/4'
'-x,y+1/4,z+1/4'
'-x+1/4,y,-z+1/4'
'x+1/4,-y,z+1/4'
'x,y+1/2,z+1/2'
'-x,-y+1/2,-z+1/2'
'-x+1/4,-y+3/4,z+1/2'
'x+1/4,y+3/4,-z+1/2'
'x,-y+3/4,-z+3/4'
'-x,y+3/4,z+3/4'
'-x+1/4,y+1/2,-z+3/4'
'x+1/4,-y+1/2,z+3/4'
'x+1/2,y,z+1/2'
'-x+1/2,-y,-z+1/2'
'-x+3/4,-y+1/4,z+1/2'
'x+3/4,y+1/4,-z+1/2'
'x+1/2,-y+1/4,-z+3/4'
'-x+1/2,y+1/4,z+3/4'
'-x+3/4,y,-z+3/4'
'x+3/4,-y,z+3/4'
'x+1/2,y+1/2,z'
'-x+1/2,-y+1/2,-z'
'-x+3/4,-y+3/4,z'
'x+3/4,y+3/4,-z'
'x+1/2,-y+3/4,-z+1/4'
'-x+1/2,y+3/4,z+1/4'
'-x+3/4,y+1/2,-z+1/4'
'x+3/4,-y+1/2,z+1/4'
loop_
_atom_site_label
_atom_site_fract_x
_atom_site_fract_y
_atom_site_fract_z
Cs1 0.1250 0.1250 0.3003
V1 0.1250 0.1250 0.6250
Ni1 0.1250 0.1250 0.1250
S1 0.1175 0.2869 0.8261
# Formation energy from raw total energies in kJ/mol of formula units: -805
# Crystal system: orthorhombic